[1]
ZrBr2Cl: relaxed, PBE.

a = 3.482 Å, b = 7.061 Å, c = 7.123 Å
α = 57.68°, β = 90.00°, γ = 90.00°
Fractional coordinates of all 4 atoms:
Br 0.000 0.875 0.922
Br 0.500 0.201 0.291
Zr 0.500 0.838 0.656
Cl 0.000 0.585 0.631

**Energy relative to the elements, uncorrected**: -1.353 eV per atom
**Energy above the lowest structure with this stoichiometry**: 25 kJ/mol of formula units
**DFT total energy**: -0.35189 Ry per atom
**Symmetry**: Pm, No. 6

=====

[2]
AcAlAsO6: relaxed, PBE.

a = 5.032 Å, b = 5.032 Å, c = 5.364 Å
α = 90.00°, β = 90.00°, γ = 60.00°
Each line ends with the local moment (μB).
Fractional coordinates of all 9 atoms:
Ac 0.000 0.000 0.000  0.01
Al 0.333 0.333 0.500  0.00
As 0.667 0.667 0.500  -0.01
O 0.991 0.388 0.302  0.14
O 0.388 0.991 0.698  0.14
O 0.621 0.388 0.698  0.14
O 0.991 0.621 0.698  0.14
O 0.388 0.621 0.302  0.14
O 0.621 0.991 0.302  0.14

**Energy relative to the elements, uncorrected**: -2.255 eV per atom
**DFT total energy**: -0.51078 Ry per atom
**Symmetry**: P312, No. 149

=====

[3]
Tb4DyHo6: relaxed, PBE.

a = 7.538 Å, b = 7.538 Å, c = 8.433 Å
α = 116.55°, β = 116.55°, γ = 90.00°
Fractional coordinates of all 11 atoms:
Tb 0.092 0.754 0.846
Tb 0.908 0.908 0.154
Tb 0.754 0.092 0.846
Tb 0.246 0.246 0.154
Dy 0.500 0.500 0.000
Ho 0.924 0.446 0.370
Ho 0.446 0.924 0.370
Ho 0.554 0.554 0.630
Ho 0.000 0.500 0.000
Ho 0.076 0.076 0.630
Ho 0.500 0.000 0.000

**Energy above the lowest structure with this stoichiometry**: 341 kJ/mol of formula units
**DFT total energy**: -0.30505 Ry per atom
**Energy relative to the elements**: 0.449 eV/atom
**Symmetry**: I-42m, No. 121

=====

[4]
PmIn4Pd7: relaxed, PBE.

a = 5.069 Å, b = 8.733 Å, c = 6.159 Å
α = 81.96°, β = 65.70°, γ = 73.13°
Fractional coordinates of all 12 atoms:
Pm 0.000 0.000 0.000
In 0.588 0.226 0.599
In 0.412 0.774 0.401
In 0.738 0.666 0.858
In 0.262 0.334 0.142
Pd 0.781 0.905 0.532
Pd 0.219 0.095 0.468
Pd 0.063 0.659 0.214
Pd 0.937 0.341 0.786
Pd 0.356 0.538 0.749
Pd 0.500 0.000 0.000
Pd 0.644 0.462 0.251

**DFT total energy**: -0.35154 Ry per atom
**Energy relative to the elements**: -0.445 eV/atom
**Symmetry**: C2/m, No. 12

=====

[5]
MnBi4S7: relaxed, PBE.

a = 6.787 Å, b = 6.787 Å, c = 11.998 Å
α = 75.99°, β = 75.99°, γ = 34.19°
Each line ends with the local moment (μB).
Fractional coordinates of all 12 atoms:
Mn 0.000 0.000 0.500  4.27
Bi 0.120 0.120 0.076  0.01
Bi 0.880 0.880 0.924  0.01
Bi 0.318 0.318 0.341  0.06
Bi 0.682 0.682 0.659  0.06
S 0.968 0.968 0.307  0.02
S 0.032 0.032 0.693  0.02
S 0.256 0.256 0.859  0.01
S 0.744 0.744 0.141  0.01
S 0.352 0.352 0.549  0.04
S 0.648 0.648 0.451  0.04
S 0.500 0.500 0.000  0.01

**Energy relative to the elements, uncorrected**: -0.384 eV per atom
**Energy above the lowest structure with this stoichiometry**: 0 kJ/mol of formula units
**DFT total energy**: -0.35640 Ry per atom
**Symmetry**: C2/m, No. 12

=====

[6]
AgRh2Br: relaxed, PBE.

a = 3.077 Å, b = 3.077 Å, c = 6.947 Å
α = 90.00°, β = 90.00°, γ = 90.00°
Fractional coordinates of all 4 atoms:
Rh 0.000 0.000 0.985
Rh 0.000 0.000 0.515
Br 0.500 0.500 0.750
Ag 0.500 0.500 0.250

**Energy relative to the elements, uncorrected**: 0.531 eV per atom
**Energy above the lowest structure with this stoichiometry**: 87 kJ/mol of formula units
**DFT total energy**: -0.31427 Ry per atom
**Symmetry**: P4/mmm, No. 123

=====

Which of these has the highest DFT total energy?
Tb4DyHo6

=====

What did the third record say?
Tb4DyHo6: relaxed, PBE.

a = 7.538 Å, b = 7.538 Å, c = 8.433 Å
α = 116.55°, β = 116.55°, γ = 90.00°
Fractional coordinates of all 11 atoms:
Tb 0.092 0.754 0.846
Tb 0.908 0.908 0.154
Tb 0.754 0.092 0.846
Tb 0.246 0.246 0.154
Dy 0.500 0.500 0.000
Ho 0.924 0.446 0.370
Ho 0.446 0.924 0.370
Ho 0.554 0.554 0.630
Ho 0.000 0.500 0.000
Ho 0.076 0.076 0.630
Ho 0.500 0.000 0.000

**Energy above the lowest structure with this stoichiometry**: 341 kJ/mol of formula units
**DFT total energy**: -0.30505 Ry per atom
**Energy relative to the elements**: 0.449 eV/atom
**Symmetry**: I-42m, No. 121

=====

What is the formula in the fourth record?
PmIn4Pd7

=====

The lowest DFT total energy belongs to which entry?
AcAlAsO6